Density functional theory data (GGA-PBE) for crystalline CsIn4Bi2 at its relaxed geometry.

Geometry as CIF:
```
data_CsIn4Bi2
_chemical_formula_sum 'Cs3 In12 Bi6'
_cell_length_a 5.6074
_cell_length_b 5.6074
_cell_length_c 28.7711
_cell_angle_alpha 90.00
_cell_angle_beta 90.00
_cell_angle_gamma 120.00
_symmetry_space_group_name_H-M 'R -3 m'
_symmetry_Int_Tables_number 166
_symmetry_space_group_name_Hall '-R 3 2"'
loop_
_atom_site_label
_atom_site_type_symbol
_atom_site_fract_x
_atom_site_fract_y
_atom_site_fract_z
Cs1 Cs 0.0000 0.0000 0.0000
In1 In 0.0000 0.0000 0.1329
In2 In 0.0000 0.0000 0.4466
Bi1 Bi 0.0000 0.0000 0.2392
```

spin magnetization	0.000	Bohr magnetons per cell
crystal system	trigonal
final energy	-2.90	eV per atom
ΔH_f (0 K)	-0.108	eV per atom